No. 1
Entry from the Alexandria database: Cd6PbAu after structural relaxation (GGA-PBE).

a b c (Å): 9.9246 4.4758 9.0880
angles (deg): 90.00 113.65 90.00
Closest atoms and distances in Å follow each position.
Space group C2/m (No. 12)
Asymmetric unit:
Cd1 0.0048 0.0000 0.2272  2 Au 3.03, 7 Cd 3.05-3.21, 2 Pb 3.35
Cd2 0.2423 0.5000 0.3481  1 Au 3.11, 5 Cd 3.11-3.21, 3 Pb 3.22-3.26
Cd3 0.2445 0.5000 0.8858  3 Au 3.00-3.23, 8 Cd 3.02-3.19
Pb1 0.0000 0.5000 0.5000  12 Cd 3.22-3.37
Au1 0.0000 0.5000 0.0000  12 Cd 3.00-3.23

**Total DFT energy (no corrections)**: -25.2 eV per cell
**Fermi-level density of states**: 0.42 states/eV per atom
**Calculated formation energy**: -0.013 eV per atom
**Crystal system**: monoclinic
**Theoretical density**: 9.69 g cm⁻³

=====

No. 2
Entry from the Alexandria database: Cd4PbAu4 after structural relaxation (GGA-PBE).

a b c (Å): 8.7714 8.7714 5.1374
angles (deg): 90.00 90.00 90.00
Closest atoms and distances in Å follow each position.
Space group P4_2/n (No. 86, origin choice 2)
Asymmetric unit:
Cd1 0.1018 0.8358 0.1549  4 Au 2.82-2.90, 1 Cd 3.00
Pb1 0.2500 0.2500 0.7500  4 Au 2.97, 4 Cd 3.21
Au1 0.0401 0.1397 0.3365  4 Cd 2.82-2.90, 1 Pb 2.97, 3 Au 3.05-3.07

**Total DFT energy (no corrections)**: -42.1 eV per cell
**Fermi-level density of states**: 0.34 states/eV per atom
**Calculated formation energy**: -0.064 eV per atom
**Crystal system**: tetragonal
**Theoretical density**: 12.14 g cm⁻³

=====

No. 3
Entry from the Alexandria database: Cd4PbAu after structural relaxation (GGA-PBE).

a b c (Å): 8.2715 8.2715 8.2715
angles (deg): 90.00 90.00 90.00
Closest atoms and distances in Å follow each position.
Space group F-43m (No. 216)
Asymmetric unit:
Cd1 0.1254 0.1254 0.1254  6 Cd 2.91-2.93
Pb1 0.2500 0.2500 0.7500  12 Cd 3.43, 4 Au 3.58
Au1 0.0000 0.0000 0.5000  12 Cd 3.43, 4 Pb 3.58

**Total DFT energy (no corrections)**: -40.8 eV per cell
**Fermi-level density of states**: 0.22 states/eV per atom
**Calculated formation energy**: 0.075 eV per atom
**Crystal system**: cubic
**Energy relative to the lowest polymorph listed for this composition**: 81 meV per atom
**Theoretical density**: 10.02 g cm⁻³

=====

Copy entry 3 word for word.
Entry from the Alexandria database: Cd4PbAu after structural relaxation (GGA-PBE).

a b c (Å): 8.2715 8.2715 8.2715
angles (deg): 90.00 90.00 90.00
Closest atoms and distances in Å follow each position.
Space group F-43m (No. 216)
Asymmetric unit:
Cd1 0.1254 0.1254 0.1254  6 Cd 2.91-2.93
Pb1 0.2500 0.2500 0.7500  12 Cd 3.43, 4 Au 3.58
Au1 0.0000 0.0000 0.5000  12 Cd 3.43, 4 Pb 3.58

**Total DFT energy (no corrections)**: -40.8 eV per cell
**Fermi-level density of states**: 0.22 states/eV per atom
**Calculated formation energy**: 0.075 eV per atom
**Crystal system**: cubic
**Energy relative to the lowest polymorph listed for this composition**: 81 meV per atom
**Theoretical density**: 10.02 g cm⁻³